# 1
An optimized crystal structure of KZn4Ag8. Source: Alexandria via LeMat-Bulk, functional PBE.

## Properties
Calculated volume ... 241 Å³/cell
Theoretical density ... 8.01 g/cm³
Final energy ... -2.25 eV per atom

Cell: 5.350 7.228 7.228 Å, 82.13 68.28 68.28°
Element x y z (fractional)
Zn: 0.500 0.500 0.000
Ag: 0.500 0.223 0.777
Ag: 0.500 0.777 0.223
Ag: 0.723 0.777 0.777
Ag: 0.277 0.223 0.223
Ag: 0.000 0.350 0.650
Ag: 0.000 0.650 0.350
Zn: 0.000 0.500 0.000
Ag: 0.650 0.350 0.350
Zn: 0.500 0.000 0.500
Zn: 0.000 0.000 0.500
Ag: 0.350 0.650 0.650
K: 0.000 0.000 0.000

# 2
An optimized crystal structure of Cd2CuAg. Source: Alexandria via LeMat-Bulk, functional PBE.

## Properties
Calculated volume ... 73 Å³/cell
Theoretical density ... 9.06 g/cm³
Final energy ... -2.15 eV per atom

Cell: 9.645 9.645 9.645 Å, 17.73 17.73 17.73°
Element x y z (fractional)
Ag: 0.750 0.750 0.750
Cd: 0.996 0.996 0.996
Cu: 0.250 0.250 0.250
Cd: 0.504 0.504 0.504

# 3
An optimized crystal structure of V3PAu. Source: Alexandria via LeMat-Bulk, functional PBE.

## Properties
Calculated volume ... 82 Å³/cell
ΔE to the lowest computed polymorph ... 0.0 meV/atom
Theoretical density ... 7.67 g/cm³
Final energy ... -7.04 eV per atom

Cell: 4.352 4.352 4.352 Å, 90.00 90.00 90.00°
Each line ends with the local moment (μB).
Element x y z (fractional)
V: 0.000 0.000 0.500  1.06
Au: 0.500 0.500 0.500  0.04
V: 0.000 0.500 0.000  1.06
V: 0.500 0.000 0.000  1.06
P: 0.000 0.000 0.000  -0.06